No. 1
InCo2Se | GGA-PBE | optimized geometry

Cell lengths 4.336, 4.336, 15.331 Å; angles 90.00, 90.00, 90.00 degrees
Space group I-42d (No. 122)
Unique sites:
In 0.000 0.000 0.000 [4 per cell]
Co 0.141 0.250 0.625 [8 per cell]
Se 0.000 0.000 0.500 [4 per cell]

Results
Its crystal system is tetragonal. The calculation puts the uncorrected formation energy at 252.8 meV/atom. The polymorph energy (0 for the lowest one) is 0.158 eV per atom.

---

No. 2
Zr2VTe6 | GGA-PBE | optimized geometry

Cell lengths 6.953, 7.393, 11.416 Å; angles 90.00, 124.96, 90.00 degrees
Space group P2_1/c (No. 14)
Unique sites:
Zr 0.219 0.146 0.254 [4 per cell]
V 0.000 0.000 0.500 [2 per cell]
Te 0.081 0.169 0.929 [4 per cell]
Te 0.278 0.673 0.932 [4 per cell]
Te 0.413 0.010 0.761 [4 per cell]

Results
Its crystal system is monoclinic. The calculation puts the uncorrected formation energy at -575.0 meV/atom. The polymorph energy (0 for the lowest one) is 0.087 eV per atom.

---

No. 3
TlIn2Ir | GGA-PBE | optimized geometry

Cell lengths 5.772, 7.322, 4.084 Å; angles 90.00, 90.00, 90.00 degrees
Space group Cmmm (No. 65)
Unique sites:
Tl 0.000 0.000 0.000 [2 per cell]
In 0.250 0.250 0.500 [4 per cell]
Ir 0.000 0.500 0.000 [2 per cell]

Results
Its crystal system is orthorhombic. The value obtained for the formation energy from the elements is 34 kJ/mol of atoms. The polymorph energy (0 for the lowest one) is 0.331 eV per atom.

---

No. 4
Hf6CdSn | GGA-PBE | optimized geometry

Cell lengths 4.253, 9.234, 8.996 Å; angles 90.00, 90.00, 90.00 degrees
Space group Amm2 (No. 38)
Unique sites:
Hf 0.000 0.000 0.000 [2 per cell]
Hf 0.000 0.239 0.245 [4 per cell]
Hf 0.500 0.000 0.243 [2 per cell]
Hf 0.500 0.243 0.992 [4 per cell]
Cd 0.500 0.000 0.747 [2 per cell]
Sn 0.000 0.000 0.499 [2 per cell]

Results
Its crystal system is orthorhombic. The value obtained for the formation energy from the elements is -8 kJ/mol of atoms.

---

No. 5
Sc3AgO | GGA-PBE | optimized geometry

Cell lengths 4.382, 4.416, 17.929 Å; angles 90.00, 90.00, 90.00 degrees
Space group Imma (No. 74)
Unique sites:
Sc 0.000 0.250 0.059 [4 per cell]
Sc 0.000 0.250 0.572 [4 per cell]
Sc 0.000 0.250 0.807 [4 per cell]
Ag 0.000 0.250 0.310 [4 per cell]
O 0.000 0.250 0.931 [4 per cell]

Results
Its crystal system is orthorhombic. The calculation puts the uncorrected formation energy at -1287.4 meV/atom. The polymorph energy (0 for the lowest one) is 0.079 eV per atom.

---

No. 6
La7Ga2Ru2 | GGA-PBE | optimized geometry

Cell lengths 8.096, 11.552, 7.115 Å; angles 90.00, 90.00, 90.00 degrees
Space group Cmmm (No. 65)
Unique sites:
La 0.000 0.000 0.000 [2 per cell]
La 0.000 0.500 0.262 [4 per cell]
La 0.250 0.250 0.261 [8 per cell]
Ga 0.158 0.000 0.500 [4 per cell]
Ru 0.000 0.300 0.000 [4 per cell]

Results
Its crystal system is orthorhombic. The value obtained for the formation energy from the elements is -28 kJ/mol of atoms. The polymorph energy (0 for the lowest one) is 0.047 eV per atom.